Record 1
First-principles (GGA-PBEsol) data for crystalline ScReB2 at its relaxed geometry, as listed in the Alexandria database.

abc: 3.963 3.963 3.963
angles: 60.00 60.00 60.00
Positions (direct):
1 Sc 0.000 0.000 0.000
2 Re 0.500 0.500 0.500
3 B 0.250 0.250 0.250
4 B 0.750 0.750 0.750

Output
Formation energy: 43 kJ/mol of formula units

Record 2
First-principles (GGA-PBEsol) data for crystalline OsRuPt at its relaxed geometry, as listed in the Alexandria database.

abc: 6.087 6.087 6.087
angles: 154.33 154.33 36.62
Positions (direct):
1 Os 0.000 0.000 0.000
2 Ru 0.349 0.349 0.000
3 Pt 0.674 0.674 0.000

Output
Formation energy: 7 kJ/mol of formula units

Record 3
First-principles (GGA-PBEsol) data for crystalline KMg3Si4O12 at its relaxed geometry, as listed in the Alexandria database.

abc: 5.293 5.293 10.143
angles: 94.42 94.42 120.84
Positions (direct):
1 K 0.000 0.000 0.000
2 Mg 0.165 0.835 0.500
3 Mg 0.500 0.500 0.500
4 Mg 0.835 0.165 0.500
5 Si 0.259 0.593 0.773
6 Si 0.407 0.741 0.227
7 Si 0.593 0.259 0.773
8 Si 0.741 0.407 0.227
9 O 0.054 0.557 0.161
10 O 0.125 0.125 0.403
11 O 0.210 0.549 0.614
12 O 0.443 0.946 0.839
13 O 0.450 0.450 0.835
14 O 0.451 0.790 0.386
15 O 0.549 0.210 0.614
16 O 0.550 0.550 0.165
17 O 0.557 0.054 0.161
18 O 0.790 0.451 0.386
19 O 0.875 0.875 0.597
20 O 0.946 0.443 0.839

Output
Uncorrected formation energy: -52.98 eV/f.u.